(1)
VASP calculation (PBE-GGA) on a geometry-optimized Cs8Sb2H structure.

Geometry as extended XYZ:
```
11
Lattice="12.799 -3.102 0.000 12.799 3.102 0.000 -2.431 0.000 8.116" Properties=species:S:1:pos:R:3 pbc="T T T"
Cs 0.395 0.000 2.275
Cs 5.529 0.000 1.136
Cs 6.838 0.000 4.912
Cs 9.936 0.000 1.702
Cs 13.230 0.000 6.414
Cs 16.328 0.000 3.204
Cs 17.638 0.000 6.979
Cs 22.771 0.000 5.841
Sb 2.773 0.000 5.373
Sb 20.393 0.000 2.743
H 12.799 0.000 0.000
```

## Properties
Calculated volume ... 58.587 Å³ per atom
Energy above the lowest structure with this stoichiometry ... 0.000 eV per atom
E ... -20.90 eV/cell
Space group ... C2/m, No. 12


(2)
VASP calculation (PBE-GGA) on a geometry-optimized TlCr4Au structure.

Geometry as extended XYZ:
```
6
Lattice="0.000 3.517 3.517 3.517 0.000 3.517 3.517 3.517 0.000" Properties=species:S:1:pos:R:3 pbc="T T T"
Tl 0.000 0.000 0.000
Cr 2.660 2.660 2.660
Cr 4.373 4.373 2.660
Cr 4.373 2.660 4.373
Cr 2.660 4.373 4.373
Au 5.275 5.275 5.275
```

## Properties
Calculated volume ... 14.498 Å³ per atom
E ... -40.72 eV/cell
Space group ... F-43m, No. 216


(3)
VASP calculation (PBE-GGA) on a geometry-optimized Na5Sn2Pb structure.

Geometry as extended XYZ:
```
8
Lattice="-2.458 5.036 5.215 2.458 -5.036 5.215 2.458 5.036 -5.215" Properties=species:S:1:pos:R:3 pbc="T T T"
Na 0.000 0.000 0.000
Na 2.458 1.808 -1.835
Na 2.458 1.808 1.835
Na 0.000 3.228 3.380
Na 0.000 3.228 7.050
Sn 0.000 0.000 3.170
Sn 0.000 0.000 7.260
Pb 0.000 5.036 0.000
```

## Properties
Calculated volume ... 32.280 Å³ per atom
E ... -18.54 eV/cell
Space group ... Immm, No. 71


(4)
VASP calculation (PBE-GGA) on a geometry-optimized Pm2Nd2In5 structure.

Geometry as extended XYZ:
```
18
Lattice="7.595 -4.216 0.000 7.595 4.216 0.000 0.000 0.000 8.391" Properties=species:S:1:pos:R:3 pbc="T T T"
Pm 3.237 0.000 0.000
Pm 4.358 0.000 4.196
Pm 10.832 0.000 4.196
Pm 11.953 0.000 0.000
Nd 7.595 3.140 5.264
Nd 7.595 1.075 1.069
Nd 7.595 -1.075 7.322
Nd 7.595 -3.140 3.127
In 0.000 0.000 0.000
In 5.475 2.687 2.660
In 5.475 1.529 6.856
In 9.715 2.687 2.660
In 9.715 1.529 6.856
In 7.595 0.000 4.196
In 5.475 -1.529 1.535
In 5.475 -2.687 5.731
In 9.715 -1.529 1.535
In 9.715 -2.687 5.731
```

## Properties
Calculated volume ... 29.853 Å³ per atom
E ... -70.86 eV/cell
Space group ... Cmce, No. 64


(5)
VASP calculation (PBE-GGA) on a geometry-optimized ScZn2Cd2 structure.

Geometry as extended XYZ:
```
5
Lattice="-1.978 1.978 6.475 1.978 -1.978 6.475 1.978 1.978 -6.475" Properties=species:S:1:pos:R:3 pbc="T T T"
Sc 0.000 0.000 0.000
Zn 1.978 0.000 3.237
Zn 0.000 1.978 3.237
Cd 0.000 0.000 5.103
Cd 0.000 0.000 7.846
```

## Properties
Calculated volume ... 20.272 Å³ per atom
Energy above the lowest structure with this stoichiometry ... 0.129 eV per atom
E ... -10.86 eV/cell
Space group ... I4/mmm, No. 139


(6)
VASP calculation (PBE-GGA) on a geometry-optimized Sc2TeP structure.

Geometry as extended XYZ:
```
4
Lattice="2.063 -2.806 0.000 2.063 2.806 0.000 0.000 0.000 7.422" Properties=species:S:1:pos:R:3 pbc="T T T"
Sc 0.000 0.000 1.617
Sc 0.000 0.000 5.805
Te 2.063 0.000 3.711
P 2.063 0.000 0.000
```

## Properties
Calculated volume ... 21.480 Å³ per atom
ΔE_f (raw) ... -90.6 kJ per mole of atoms
Energy above the lowest structure with this stoichiometry ... 0.453 eV per atom
E ... -24.97 eV/cell
Space group ... Cmmm, No. 65


(7)
VASP calculation (PBE-GGA) on a geometry-optimized La2TaAu structure.

Geometry as extended XYZ:
```
4
Lattice="3.364 0.000 0.000 0.000 3.364 0.000 0.000 0.000 9.474" Properties=species:S:1:pos:R:3 pbc="T T T"
La 0.000 0.000 0.000
La 1.682 1.682 3.434
Ta 0.000 0.000 5.690
Au 1.682 1.682 7.194
```

## Properties
Calculated volume ... 26.797 Å³ per atom
Energy above the lowest structure with this stoichiometry ... 0.017 eV per atom
E ... -24.94 eV/cell
Space group ... P4mm, No. 99


(8)
VASP calculation (PBE-GGA) on a geometry-optimized NbTe2Cl structure.

Geometry as extended XYZ:
```
8
Lattice="4.041 0.000 0.000 0.000 8.947 0.000 -0.128 0.000 8.235" Properties=species:S:1:pos:R:3 pbc="T T T"
Nb 0.948 0.000 3.870
Nb 2.966 4.473 4.365
Te 0.946 7.706 1.632
Te 0.946 6.197 5.044
Te 2.968 1.724 3.191
Te 2.968 3.233 6.603
Cl 0.952 0.348 6.237
Cl 2.962 4.821 1.998
```

## Properties
Calculated volume ... 37.218 Å³ per atom
ΔE_f (raw) ... -24.2 kJ per mole of atoms
Energy above the lowest structure with this stoichiometry ... 0.094 eV per atom
E ... -38.40 eV/cell
Space group ... P2_1, No. 4